#w
DFT (PBE-GGA) results for a relaxed structure of Rb3SrGe.

a = 8.1125 Å, b = 8.1125 Å, c = 8.1125 Å
α = 90.00°, β = 90.00°, γ = 90.00°
Closest atoms and distances in Å follow each position.
Space group Pm-3m (No. 221)
Asymmetric unit:
Rb1 0.0000 0.0000 0.5000  2 Sr 4.06
Sr1 0.0000 0.0000 0.0000  6 Rb 4.06
Ge1 0.5000 0.5000 0.5000  12 Rb 5.74

## Properties
Total magnetic moment = 0.212 μB per atom
D(E_F) = 3.02 states/eV per cell

#x
DFT (PBE-GGA) results for a relaxed structure of Rb3SrGe.

a = 6.9828 Å, b = 6.9828 Å, c = 6.9828 Å
α = 90.00°, β = 90.00°, γ = 90.00°
Closest atoms and distances in Å follow each position.
Space group Pm-3m (No. 221)
Asymmetric unit:
Rb1 0.0000 0.0000 0.5000  2 Ge 3.49
Sr1 0.5000 0.5000 0.5000  12 Rb 4.94
Ge1 0.0000 0.0000 0.0000  6 Rb 3.49

## Properties
Total magnetic moment = 0.205 μB per atom
D(E_F) = 2.50 states/eV per cell

Going by the energies, #x is most stable and the next is 0.572 eV/atom up.

#w
DFT (PBE-GGA) results for a relaxed structure of RbSrGe3.

a = 5.8566 Å, b = 5.8566 Å, c = 5.8566 Å
α = 90.00°, β = 90.00°, γ = 90.00°
Closest atoms and distances in Å follow each position.
Space group Pm-3m (No. 221)
Asymmetric unit:
Rb1 0.0000 0.0000 0.0000  12 Ge 4.14
Sr1 0.5000 0.5000 0.5000  6 Ge 2.93
Ge1 0.0000 0.5000 0.5000  2 Sr 2.93

## Properties
Total magnetic moment = 0.127 μB per atom
D(E_F) = 6.18 states/eV per cell

#x
DFT (PBE-GGA) results for a relaxed structure of RbSrGe3.

a = 5.6654 Å, b = 5.6654 Å, c = 5.6654 Å
α = 90.00°, β = 90.00°, γ = 90.00°
Closest atoms and distances in Å follow each position.
Space group Pm-3m (No. 221)
Asymmetric unit:
Rb1 0.0000 0.0000 0.0000  6 Ge 2.83
Sr1 0.5000 0.5000 0.5000  12 Ge 4.01
Ge1 0.0000 0.0000 0.5000  2 Rb 2.83

## Properties
Total magnetic moment = 0.000 μB per atom
D(E_F) = 5.20 states/eV per cell

Going by the energies, #w is most stable and the next is 0.326 eV/atom up.

#w
DFT (PBE-GGA) results for a relaxed structure of RbSr3Ge.

a = 6.3587 Å, b = 6.3587 Å, c = 6.3587 Å
α = 90.00°, β = 90.00°, γ = 90.00°
Closest atoms and distances in Å follow each position.
Space group Pm-3m (No. 221)
Asymmetric unit:
Rb1 0.0000 0.0000 0.0000  6 Sr 3.18
Sr1 0.0000 0.0000 0.5000  2 Rb 3.18
Ge1 0.5000 0.5000 0.5000  12 Sr 4.50

## Properties
Total magnetic moment = 0.310 μB per atom
D(E_F) = 7.93 states/eV per cell

#x
DFT (PBE-GGA) results for a relaxed structure of RbSr3Ge.

a = 6.3517 Å, b = 6.3517 Å, c = 6.3517 Å
α = 90.00°, β = 90.00°, γ = 90.00°
Closest atoms and distances in Å follow each position.
Space group Pm-3m (No. 221)
Asymmetric unit:
Rb1 0.0000 0.0000 0.0000  12 Sr 4.49
Sr1 0.0000 0.5000 0.5000  2 Ge 3.18
Ge1 0.5000 0.5000 0.5000  6 Sr 3.18

## Properties
Total magnetic moment = 0.000 μB per atom
D(E_F) = 6.17 states/eV per cell

Going by the energies, #x is most stable and the next is 1.265 eV/atom up.

#w
DFT (PBE-GGA) results for a relaxed structure of RbTaGe2.

a = 6.3043 Å, b = 6.3043 Å, c = 15.4750 Å
α = 90.00°, β = 90.00°, γ = 90.00°
Closest atoms and distances in Å follow each position.
Space group I-42d (No. 122)
Asymmetric unit:
Rb1 0.0000 0.0000 0.0000  8 Ge 4.02, 4 Ta 4.46
Ta1 0.0000 0.0000 0.5000  4 Ge 2.50
Ge1 0.0008 0.2500 0.6250  2 Ta 2.50

## Properties
Total magnetic moment = 0.000 μB per atom
D(E_F) = 11.89 states/eV per cell

#x
DFT (PBE-GGA) results for a relaxed structure of RbTaGe2.

a = 7.0687 Å, b = 7.0687 Å, c = 7.0687 Å
α = 90.00°, β = 90.00°, γ = 90.00°
Closest atoms and distances in Å follow each position.
Space group Fm-3m (No. 225)
Asymmetric unit:
Rb1 0.0000 0.0000 0.0000  8 Ge 3.06
Ta1 0.0000 0.0000 0.5000  8 Ge 3.06
Ge1 0.2500 0.2500 0.2500  4 Rb 3.06, 4 Ta 3.06

## Properties
Total magnetic moment = 0.000 μB per atom
D(E_F) = 13.52 states/eV per cell

Going by the energies, #w is most stable and the next is 0.518 eV/atom up.

#w
DFT (PBE-GGA) results for a relaxed structure of RbTcGe3.

a = 4.9369 Å, b = 4.9369 Å, c = 4.9369 Å
α = 90.00°, β = 90.00°, γ = 90.00°
Closest atoms and distances in Å follow each position.
Space group Pm-3m (No. 221)
Asymmetric unit:
Rb1 0.0000 0.0000 0.0000  12 Ge 3.49
Tc1 0.5000 0.5000 0.5000  6 Ge 2.47
Ge1 0.0000 0.5000 0.5000  2 Tc 2.47

## Properties
Total magnetic moment = 0.000 μB per atom
D(E_F) = 5.00 states/eV per cell

#x
DFT (PBE-GGA) results for a relaxed structure of RbTcGe3.

a = 5.4293 Å, b = 5.4293 Å, c = 5.4293 Å
α = 90.00°, β = 90.00°, γ = 90.00°
Closest atoms and distances in Å follow each position.
Space group Pm-3m (No. 221)
Asymmetric unit:
Rb1 0.0000 0.0000 0.0000  6 Ge 2.71
Tc1 0.5000 0.5000 0.5000  12 Ge 3.84
Ge1 0.0000 0.0000 0.5000  2 Rb 2.71

## Properties
Total magnetic moment = 0.651 μB per atom
D(E_F) = 4.05 states/eV per cell

Going by the energies, #w is most stable and the next is 2.233 eV/atom up.

#w
DFT (PBE-GGA) results for a relaxed structure of RbTcGe2.

a = 4.1868 Å, b = 4.1868 Å, c = 24.1539 Å
α = 90.00°, β = 90.00°, γ = 120.00°
Closest atoms and distances in Å follow each position.
Space group R-3m (No. 166, hexagonal axes)
Asymmetric unit:
Rb1 0.0000 0.0000 0.0000  2 Ge 3.27
Tc1 0.0000 0.0000 0.5000  6 Ge 2.53
Ge1 0.0000 0.0000 0.1355  3 Tc 2.53

## Properties
Total magnetic moment = 0.000 μB per atom
D(E_F) = 5.88 states/eV per cell

#x
DFT (PBE-GGA) results for a relaxed structure of RbTcGe2.

a = 6.9408 Å, b = 6.9408 Å, c = 6.9408 Å
α = 90.00°, β = 90.00°, γ = 90.00°
Closest atoms and distances in Å follow each position.
Space group Fm-3m (No. 225)
Asymmetric unit:
Rb1 0.0000 0.0000 0.0000  8 Ge 3.01
Tc1 0.0000 0.0000 0.5000  8 Ge 3.01
Ge1 0.2500 0.2500 0.2500  4 Tc 3.01, 4 Rb 3.01

## Properties
Total magnetic moment = 0.421 μB per atom
D(E_F) = 10.80 states/eV per cell

#y
DFT (PBE-GGA) results for a relaxed structure of RbTcGe2.

a = 6.3078 Å, b = 6.3078 Å, c = 13.8955 Å
α = 90.00°, β = 90.00°, γ = 90.00°
Closest atoms and distances in Å follow each position.
Space group I4_1/amd (No. 141, origin choice 2)
Asymmetric unit:
Rb1 0.0000 0.2500 0.3750  8 Ge 3.93
Tc1 0.0000 0.2500 0.8750  4 Ge 2.35
Ge1 0.0000 0.0000 0.0000  2 Tc 2.35

## Properties
Total magnetic moment = 0.000 μB per atom
D(E_F) = 2.11 states/eV per cell

Going by the energies, #y is most stable and the next is 0.205 eV/atom up.